# 1
A relaxed Pr5UN4 crystal, computed with GGA-PBE.

volume = 207 Å³/f.u.
final energy = -7.88 eV per atom
formation energy (no corrections) = -1036 meV per atom
total magnetic moment = 0.00 μB/f.u.
ρ = 8.005 g/cm3

a b c (Å): 3.600 7.401 8.146
angles (deg): 101.51 102.77 90.00
Element x y z (fractional)
N 0.648 0.072 0.297
U 0.500 0.000 0.000
N 0.003 0.797 0.005
N 0.997 0.203 0.995
Pr 0.156 0.312 0.313
N 0.352 0.928 0.703
Pr 0.833 0.155 0.667
Pr 0.500 0.500 0.000
Pr 0.844 0.688 0.687
Pr 0.167 0.845 0.333

=====

# 2
A relaxed Pr2ZrUN5 crystal, computed with GGA-PBE.

volume = 147 Å³/f.u.
final energy = -8.98 eV per atom
formation energy (no corrections) = -1093 meV per atom
total magnetic moment = 0.18 μB/f.u.
ρ = 7.710 g/cm3

a b c (Å): 4.044 4.044 8.971
angles (deg): 90.00 90.00 90.00
Site moments in Bohr magnetons follow the coordinates.
Element x y z (fractional)
Pr 0.500 0.500 0.261  0.01
Pr 0.500 0.500 0.739  0.01
N 0.000 0.000 0.764  0.00
Zr 0.000 0.000 0.000  0.01
U 0.000 0.000 0.500  0.15
N 0.000 0.000 0.236  0.00
N 0.500 0.500 0.000  0.00
N 0.000 0.500 0.500  -0.01
N 0.500 0.000 0.500  -0.01

=====

# 3
A relaxed Pr2VN4 crystal, computed with GGA-PBE.

volume = 111 Å³/f.u.
final energy = -8.38 eV per atom
formation energy (no corrections) = -958 meV per atom
total magnetic moment = 0.92 μB/f.u.
ρ = 5.809 g/cm3

a b c (Å): 5.843 5.747 6.988
angles (deg): 90.00 108.70 90.00
Site moments in Bohr magnetons follow the coordinates.
Element x y z (fractional)
N 0.958 0.250 0.654  0.13
N 0.073 0.750 0.934  0.32
Pr 0.775 0.750 0.562  -0.01
N 0.042 0.750 0.346  0.13
N 0.544 0.491 0.742  0.13
N 0.544 0.009 0.742  0.13
Pr 0.692 0.750 0.035  0.00
N 0.456 0.991 0.258  0.13
N 0.456 0.509 0.258  0.13
Pr 0.308 0.250 0.965  0.00
N 0.927 0.250 0.066  0.32
Pr 0.225 0.250 0.438  -0.01
V 0.249 0.750 0.201  -0.09
V 0.751 0.250 0.799  -0.09

=====

# 4
A relaxed Pr3V5N12 crystal, computed with GGA-PBE.

volume = 256 Å³/f.u.
final energy = -8.76 eV per atom
formation energy (no corrections) = -768 meV per atom
total magnetic moment = 1.77 μB/f.u.
ρ = 5.480 g/cm3

a b c (Å): 11.001 11.001 11.001
angles (deg): 109.47 109.47 109.47
Site moments in Bohr magnetons follow the coordinates.
Element x y z (fractional)
N 0.897 0.817 0.508  0.13
N 0.809 0.492 0.389  0.13
N 0.191 0.683 0.080  0.13
V 0.500 0.000 0.000  -0.09
V 0.500 0.500 0.000  -0.09
N 0.683 0.191 0.580  0.13
N 0.580 0.889 0.397  0.13
V 0.375 0.125 0.750  -0.06
N 0.492 0.683 0.103  0.13
V 0.375 0.250 0.125  -0.06
Pr 0.875 0.750 0.125  0.01
Pr 0.375 0.625 0.250  0.01
N 0.008 0.397 0.817  0.13
N 0.920 0.103 0.611  0.13
V 0.125 0.750 0.375  -0.06
N 0.580 0.691 0.683  0.13
N 0.420 0.111 0.603  0.13
N 0.183 0.103 0.992  0.13
N 0.817 0.920 0.309  0.13
N 0.389 0.992 0.809  0.13
V 0.000 0.000 0.500  -0.09
V 0.875 0.625 0.750  -0.06
Pr 0.625 0.375 0.750  0.01
N 0.317 0.809 0.420  0.13
Pr 0.875 0.125 0.250  0.01
V 0.250 0.375 0.625  -0.06
V 0.875 0.250 0.625  -0.06
N 0.317 0.508 0.397  0.13
V 0.000 0.500 0.500  -0.09
N 0.809 0.317 0.920  0.13
N 0.603 0.992 0.683  0.13
N 0.992 0.603 0.183  0.13
V 0.625 0.750 0.875  -0.06
Pr 0.125 0.875 0.750  0.01
Pr 0.250 0.625 0.875  0.01
V 0.625 0.875 0.250  -0.06
N 0.889 0.309 0.492  0.13
N 0.691 0.111 0.008  0.13
N 0.817 0.897 0.008  0.13
N 0.183 0.080 0.691  0.13
V 0.000 0.000 0.000  -0.09
N 0.508 0.191 0.111  0.13
N 0.897 0.080 0.889  0.13
V 0.250 0.875 0.125  -0.06
Pr 0.750 0.875 0.625  0.01
N 0.309 0.420 0.817  0.13
Pr 0.250 0.125 0.375  0.01
Pr 0.750 0.375 0.125  0.01
V 0.125 0.375 0.250  -0.06
N 0.309 0.889 0.992  0.13
N 0.080 0.183 0.191  0.13
V 0.000 0.500 0.000  -0.09
N 0.420 0.309 0.317  0.13
N 0.080 0.897 0.389  0.13
N 0.508 0.317 0.897  0.13
N 0.191 0.508 0.611  0.13
Pr 0.625 0.250 0.375  0.01
V 0.500 0.000 0.500  -0.09
N 0.111 0.420 0.103  0.13
N 0.691 0.580 0.183  0.13
N 0.683 0.492 0.603  0.13
N 0.111 0.691 0.508  0.13
Pr 0.125 0.250 0.875  0.01
N 0.008 0.611 0.691  0.13
N 0.397 0.389 0.580  0.13
N 0.992 0.389 0.309  0.13
N 0.611 0.008 0.191  0.13
V 0.750 0.625 0.375  -0.06
Pr 0.375 0.750 0.625  0.01
N 0.492 0.809 0.889  0.13
N 0.920 0.817 0.809  0.13
N 0.603 0.611 0.420  0.13
N 0.611 0.603 0.920  0.13
N 0.397 0.008 0.317  0.13
N 0.889 0.580 0.897  0.13
N 0.103 0.920 0.111  0.13
N 0.103 0.183 0.492  0.13
V 0.500 0.500 0.500  -0.09
V 0.750 0.125 0.875  -0.06
N 0.389 0.397 0.080  0.13